Computed, not measured: a geometry-optimized K3Tb3SnS8 structure at the PBE level of DFT.

Summary:
Uncorrected formation energy ... -1.5716 eV per atom
E ... -233.3 eV/cell
Calculated density ... 3.87 g cm⁻³

CIF file:
```
data_K3Tb3SnS8
_chemical_formula_sum 'K9 Tb9 Sn3 S24'
_cell_length_a 7.9920
_cell_length_b 7.9920
_cell_length_c 22.5818
_cell_angle_alpha 90.00
_cell_angle_beta 90.00
_cell_angle_gamma 120.00
_symmetry_space_group_name_H-M 'R -3 m'
_symmetry_Int_Tables_number 166
_symmetry_space_group_name_Hall '-R 3 2"'
loop_
_atom_site_label
_atom_site_fract_x
_atom_site_fract_y
_atom_site_fract_z
K1 0.0000 0.5000 0.0000
Tb1 0.0000 0.5000 0.5000
Sn1 0.0000 0.0000 0.5000
S1 0.0000 0.0000 0.2333
S2 0.0169 0.5084 0.2317
```

Computed, not measured: a geometry-optimized SmPuPS structure at the PBE level of DFT.

Summary:
Uncorrected formation energy ... -1.6799 eV per atom
E ... -105.9 eV/cell
Calculated density ... 8.24 g cm⁻³

CIF file:
```
data_SmPuPS
_chemical_formula_sum 'Sm3 Pu3 P3 S3'
_cell_length_a 4.0397
_cell_length_b 4.0397
_cell_length_c 19.5761
_cell_angle_alpha 90.00
_cell_angle_beta 90.00
_cell_angle_gamma 120.00
_symmetry_space_group_name_H-M 'R 3 m'
_symmetry_Int_Tables_number 160
_symmetry_space_group_name_Hall 'R 3 -2"'
loop_
_atom_site_label
_atom_site_fract_x
_atom_site_fract_y
_atom_site_fract_z
Sm1 0.0000 0.0000 0.0000
Pu1 0.0000 0.0000 0.4981
P1 0.0000 0.0000 0.7515
S1 0.0000 0.0000 0.2464
```

Computed, not measured: a geometry-optimized Y3Cr5 structure at the PBE level of DFT.

Summary:
E_form ... 0.525 eV/atom
E ... -126.6 eV/cell
Calculated density ... 5.44 g cm⁻³

CIF file:
```
data_Y3Cr5
_chemical_formula_sum 'Y6 Cr10'
_cell_length_a 7.120
_cell_length_b 9.664
_cell_length_c 4.672
_cell_angle_alpha 90.00
_cell_angle_beta 90.00
_cell_angle_gamma 90.00
_symmetry_space_group_name_H-M 'C m m m'
_symmetry_Int_Tables_number 65
_symmetry_space_group_name_Hall '-C 2 2'
loop_
_atom_site_label
_atom_site_fract_x
_atom_site_fract_y
_atom_site_fract_z
Y1 0.000 0.000 0.000
Y2 0.000 0.254 0.500
Cr1 0.000 0.500 0.000
Cr2 0.221 0.500 0.500
Cr3 0.250 0.250 0.000
```

Computed, not measured: a geometry-optimized PrYThSc structure at the PBE level of DFT.

Summary:
E_form ... 0.106 eV/atom
Excess energy over the best structure of this formula in the dataset ... 0.000 eV per atom
E ... -24.6 eV/cell
Calculated density ... 6.83 g cm⁻³

CIF file:
```
data_PrYThSc
_chemical_formula_sum 'Pr1 Y1 Th1 Sc1'
_cell_length_a 3.441
_cell_length_b 5.357
_cell_length_c 6.902
_cell_angle_alpha 90.00
_cell_angle_beta 104.37
_cell_angle_gamma 90.00
_symmetry_space_group_name_H-M 'P 1 m 1'
_symmetry_Int_Tables_number 6
loop_
_symmetry_equiv_pos_as_xyz
'x,y,z'
'x,-y,z'
loop_
_atom_site_label
_atom_site_fract_x
_atom_site_fract_y
_atom_site_fract_z
Pr1 0.000 0.000 0.000
Y1 0.138 0.500 0.272
Th1 0.378 0.500 0.756
Sc1 0.749 0.000 0.496
```